one | Below is crystalline Cs2Te2Pb at its relaxed geometry, with properties calculated at the PBE level.

abc: 9.064 9.064 5.653
angles: 90.00 90.00 90.00
Sites, in units of the cell vectors:
1 Cs 0.141 0.359 0.000
2 Cs 0.359 0.859 0.000
3 Cs 0.641 0.141 0.000
4 Cs 0.859 0.641 0.000
5 Te 0.174 0.674 0.500
6 Te 0.326 0.174 0.500
7 Te 0.674 0.826 0.500
8 Te 0.826 0.326 0.500
9 Pb 0.000 0.000 0.500
10 Pb 0.500 0.500 0.500

Values from the calculation:
Space-group type: P4/mbm, No. 127
Fermi-level density of states, states/eV/cell: 13.24

two | Below is crystalline Cs2Te2Pb at its relaxed geometry, with properties calculated at the PBE level.

abc: 9.741 9.741 9.741
angles: 128.25 73.03 132.28
Sites, in units of the cell vectors:
1 Cs 0.144 0.166 0.310
2 Cs 0.356 0.666 0.022
3 Cs 0.644 0.334 0.978
4 Cs 0.856 0.834 0.690
5 Te 0.110 0.711 0.822
6 Te 0.390 0.211 0.601
7 Te 0.610 0.789 0.399
8 Te 0.890 0.289 0.178
9 Pb 0.250 0.750 0.500
10 Pb 0.750 0.250 0.500

Values from the calculation:
Space-group type: Ibam, No. 72
Fermi-level density of states, states/eV/cell: 0.00

Least stable = one

one | Below is crystalline CsThPb2 at its relaxed geometry, with properties calculated at the PBE level.

abc: 12.322 12.322 12.322
angles: 17.15 17.15 17.15
Sites, in units of the cell vectors:
1 Cs 0.000 0.000 0.000
2 Th 0.500 0.500 0.500
3 Pb 0.243 0.243 0.243
4 Pb 0.757 0.757 0.757

Values from the calculation:
Space-group type: R-3m, No. 166
Fermi-level density of states, states/eV/cell: 2.81

two | Below is crystalline CsThPb2 at its relaxed geometry, with properties calculated at the PBE level.

abc: 4.298 4.298 8.515
angles: 90.00 90.00 90.00
Sites, in units of the cell vectors:
1 Cs 0.000 0.000 0.000
2 Th 0.000 0.000 0.500
3 Pb 0.500 0.500 0.319
4 Pb 0.500 0.500 0.681

Values from the calculation:
Space-group type: P4/mmm, No. 123
Fermi-level density of states, states/eV/cell: 2.90

Least stable = one

one | Below is crystalline CsTiPb3 at its relaxed geometry, with properties calculated at the PBE level.

abc: 6.105 6.105 6.105
angles: 90.00 90.00 90.00
Sites, in units of the cell vectors:
1 Cs 0.000 0.000 0.000
2 Ti 0.500 0.500 0.500
3 Pb 0.000 0.000 0.500
4 Pb 0.000 0.500 0.000
5 Pb 0.500 0.000 0.000

Values from the calculation:
Space-group type: Pm-3m, No. 221
Fermi-level density of states, states/eV/cell: 12.76

two | Below is crystalline CsTiPb3 at its relaxed geometry, with properties calculated at the PBE level.

abc: 5.566 5.566 5.566
angles: 90.00 90.00 90.00
Sites, in units of the cell vectors:
1 Cs 0.000 0.000 0.000
2 Ti 0.500 0.500 0.500
3 Pb 0.000 0.500 0.500
4 Pb 0.500 0.000 0.500
5 Pb 0.500 0.500 0.000

Values from the calculation:
Space-group type: Pm-3m, No. 221
Fermi-level density of states, states/eV/cell: 2.93

Least stable = one

one | Below is crystalline Cs2Tl2Pb at its relaxed geometry, with properties calculated at the PBE level.

abc: 7.877 7.877 8.800
angles: 106.07 106.07 65.78
Sites, in units of the cell vectors:
1 Cs 0.120 0.235 0.153
2 Cs 0.235 0.120 0.653
3 Cs 0.765 0.880 0.347
4 Cs 0.880 0.765 0.847
5 Tl 0.300 0.565 0.562
6 Tl 0.435 0.700 0.938
7 Tl 0.565 0.300 0.062
8 Tl 0.700 0.435 0.438
9 Pb 0.301 0.699 0.250
10 Pb 0.699 0.301 0.750

Values from the calculation:
Space-group type: C2/c, No. 15
Fermi-level density of states, states/eV/cell: 2.70

two | Below is crystalline Cs2Tl2Pb at its relaxed geometry, with properties calculated at the PBE level.

abc: 7.389 7.389 9.881
angles: 90.00 90.00 73.60
Sites, in units of the cell vectors:
1 Cs 0.185 0.185 0.000
2 Cs 0.185 0.185 0.500
3 Cs 0.815 0.815 0.000
4 Cs 0.815 0.815 0.500
5 Tl 0.355 0.645 0.595
6 Tl 0.355 0.645 0.905
7 Tl 0.645 0.355 0.095
8 Tl 0.645 0.355 0.405
9 Pb 0.329 0.671 0.250
10 Pb 0.671 0.329 0.750

Values from the calculation:
Space-group type: Cmcm, No. 63
Fermi-level density of states, states/eV/cell: 6.17

three | Below is crystalline Cs2Tl2Pb at its relaxed geometry, with properties calculated at the PBE level.

abc: 9.097 9.097 9.097
angles: 147.11 147.11 47.19
Sites, in units of the cell vectors:
1 Cs 0.250 0.750 0.500
2 Cs 0.750 0.250 0.500
3 Tl 0.088 0.088 0.000
4 Tl 0.912 0.912 0.000
5 Pb 0.500 0.500 0.000

Values from the calculation:
Space-group type: I4/mmm, No. 139
Fermi-level density of states, states/eV/cell: 4.81

four | Below is crystalline Cs2Tl2Pb at its relaxed geometry, with properties calculated at the PBE level.

abc: 8.316 8.316 6.542
angles: 90.00 90.00 90.00
Sites, in units of the cell vectors:
1 Cs 0.184 0.316 0.000
2 Cs 0.316 0.816 0.000
3 Cs 0.684 0.184 0.000
4 Cs 0.816 0.684 0.000
5 Tl 0.132 0.632 0.500
6 Tl 0.368 0.132 0.500
7 Tl 0.632 0.868 0.500
8 Tl 0.868 0.368 0.500
9 Pb 0.000 0.000 0.500
10 Pb 0.500 0.500 0.500

Values from the calculation:
Space-group type: P4/mbm, No. 127
Fermi-level density of states, states/eV/cell: 11.36

Least stable = three

one | Below is crystalline Cs3Tl3Pb2 at its relaxed geometry, with properties calculated at the PBE level.

abc: 7.650 7.650 18.691
angles: 90.00 90.00 138.18
Sites, in units of the cell vectors:
1 Cs 0.069 0.931 0.606
2 Cs 0.069 0.931 0.894
3 Cs 0.383 0.617 0.750
4 Cs 0.617 0.383 0.250
5 Cs 0.931 0.069 0.106
6 Cs 0.931 0.069 0.394
7 Tl 0.324 0.676 0.250
8 Tl 0.352 0.648 0.531
9 Tl 0.352 0.648 0.969
10 Tl 0.648 0.352 0.031
11 Tl 0.648 0.352 0.469
12 Tl 0.676 0.324 0.750
13 Pb 0.217 0.783 0.105
14 Pb 0.217 0.783 0.395
15 Pb 0.783 0.217 0.605
16 Pb 0.783 0.217 0.895

Values from the calculation:
Space-group type: Cmcm, No. 63
Fermi-level density of states, states/eV/cell: 7.67

two | Below is crystalline Cs3Tl3Pb2 at its relaxed geometry, with properties calculated at the PBE level.

abc: 7.606 7.606 20.486
angles: 90.00 90.00 142.02
Sites, in units of the cell vectors:
1 Cs 0.129 0.871 0.551
2 Cs 0.129 0.871 0.750
3 Cs 0.129 0.871 0.949
4 Cs 0.871 0.129 0.051
5 Cs 0.871 0.129 0.250
6 Cs 0.871 0.129 0.449
7 Tl 0.411 0.589 0.600
8 Tl 0.411 0.589 0.900
9 Tl 0.436 0.564 0.750
10 Tl 0.564 0.436 0.250
11 Tl 0.589 0.411 0.100
12 Tl 0.589 0.411 0.400
13 Pb 0.187 0.813 0.171
14 Pb 0.187 0.813 0.329
15 Pb 0.813 0.187 0.671
16 Pb 0.813 0.187 0.829

Values from the calculation:
Space-group type: Cmcm, No. 63
Fermi-level density of states, states/eV/cell: 5.21

Least stable = one

one | Below is crystalline Cs2TlPb at its relaxed geometry, with properties calculated at the PBE level.

abc: 10.288 10.288 10.288
angles: 94.75 94.75 146.55
Sites, in units of the cell vectors:
1 Cs 0.375 0.220 0.345
2 Cs 0.780 0.125 0.155
3 Cs 0.875 0.030 0.655
4 Cs 0.970 0.625 0.845
5 Tl 0.000 0.000 0.000
6 Tl 0.750 0.250 0.500
7 Pb 0.250 0.750 0.500
8 Pb 0.500 0.500 0.000

Values from the calculation:
Space-group type: I-42d, No. 122
Fermi-level density of states, states/eV/cell: 5.22

two | Below is crystalline Cs2TlPb at its relaxed geometry, with properties calculated at the PBE level.

abc: 5.195 7.371 7.491
angles: 119.45 109.79 90.06
Sites, in units of the cell vectors:
1 Cs 0.000 0.000 0.000
2 Cs 0.359 0.359 0.719
3 Tl 0.180 0.708 0.359
4 Pb 0.680 0.504 0.359

Values from the calculation:
Space-group type: P1, No. 1
Fermi-level density of states, states/eV/cell: 2.59

three | Below is crystalline Cs2TlPb at its relaxed geometry, with properties calculated at the PBE level.

abc: 7.764 7.764 6.998
angles: 90.00 90.00 73.56
Sites, in units of the cell vectors:
1 Cs 0.018 0.322 0.250
2 Cs 0.322 0.018 0.750
3 Cs 0.678 0.982 0.250
4 Cs 0.982 0.678 0.750
5 Tl 0.500 0.500 0.000
6 Tl 0.500 0.500 0.500
7 Pb 0.228 0.772 0.250
8 Pb 0.772 0.228 0.750

Values from the calculation:
Space-group type: Cmcm, No. 63
Fermi-level density of states, states/eV/cell: 4.74

four | Below is crystalline Cs2TlPb at its relaxed geometry, with properties calculated at the PBE level.

abc: 6.509 6.509 6.509
angles: 60.00 60.00 60.00
Sites, in units of the cell vectors:
1 Cs 0.250 0.250 0.250
2 Cs 0.750 0.750 0.750
3 Tl 0.000 0.000 0.000
4 Pb 0.500 0.500 0.500

Values from the calculation:
Space-group type: Fm-3m, No. 225
Fermi-level density of states, states/eV/cell: 4.27

Least stable = four